[1]
VASP calculation (PBE-GGA) on crystalline NiAgI2 at its relaxed geometry.

The structure in extended XYZ format:
```
4
Lattice="2.0372 1.1762 8.2978 -2.0372 1.1762 8.2978 0.0000 -2.3524 8.2978" Properties=species:S:1:pos:R:3 pbc="T T T"
Ni 0.0000 0.0000 0.0000
Ag 0.0000 0.0000 12.4467
I 0.0000 0.0000 9.7578
I 0.0000 0.0000 15.1356
```

Output
Energy above the lowest structure with this stoichiometry, meV per atom: 155
Energy relative to the elements, uncorrected, eV per atom: 0.15
SG: No. 166

[2]
VASP calculation (PBE-GGA) on crystalline Tl3SbF at its relaxed geometry.

The structure in extended XYZ format:
```
5
Lattice="6.2188 0.0000 0.0000 0.0000 6.2188 0.0000 0.0000 0.0000 6.2188" Properties=species:S:1:pos:R:3 pbc="T T T"
Tl 0.0000 0.0000 3.1094
Tl 0.0000 3.1094 0.0000
Tl 3.1094 0.0000 0.0000
Sb 0.0000 0.0000 0.0000
F 3.1094 3.1094 3.1094
```

Output
Energy above the lowest structure with this stoichiometry, meV per atom: 537
Energy relative to the elements, uncorrected, eV per atom: -0.07
SG: No. 221

[3]
VASP calculation (PBE-GGA) on crystalline ErHfSb at its relaxed geometry.

The structure in extended XYZ format:
```
18
Lattice="6.2783 3.6248 3.5906 -6.2783 3.6248 3.5906 0.0000 -7.2496 3.5906" Properties=species:S:1:pos:R:3 pbc="T T T"
Er -1.4046 -1.6625 4.0072
Er -0.7375 2.0477 4.0072
Er -2.1421 0.3852 6.7647
Er 2.1421 -0.3852 4.0072
Er 0.7375 -2.0477 6.7647
Er 1.4046 1.6625 6.7647
Hf -4.5223 -4.1932 6.0015
Hf -5.8925 1.8198 4.7704
Hf 1.3703 -6.0130 4.7704
Hf -1.3703 6.0130 6.0015
Hf 5.8925 -1.8198 6.0015
Hf 4.5223 4.1932 4.7704
Sb -3.3717 0.6415 3.7723
Sb 1.1303 -3.2407 3.7723
Sb -2.2414 -2.5992 6.9996
Sb 2.2414 2.5992 3.7723
Sb -1.1303 3.2407 6.9996
Sb 3.3717 -0.6415 6.9996
```

Output
Energy relative to the elements, uncorrected, eV per atom: -0.38
SG: No. 148

[4]
VASP calculation (PBE-GGA) on crystalline HfAlVIr at its relaxed geometry.

The structure in extended XYZ format:
```
4
Lattice="0.0000 3.1779 3.1779 3.1779 0.0000 3.1779 3.1779 3.1779 0.0000" Properties=species:S:1:pos:R:3 pbc="T T T"
Hf 0.0000 0.0000 0.0000
Al 3.1779 3.1779 3.1779
V 1.5889 1.5889 1.5889
Ir 4.7668 4.7668 4.7668
```

Output
SG: No. 216
DFT formation energy, eV per atom: -0.65